The following is a DFT calculation (PBE) of an optimized crystal structure of UGa3Pd3.

Values from the calculation:
Energy above the lowest structure with this stoichiometry, eV/atom: 0.330
DOS at the Fermi energy, states/eV/f.u.: 5.64

The structure in CIF format:
```
data_UGa3Pd3
_symmetry_space_group_name_H-M 'P m -3 n'
_symmetry_Int_Tables_number 223
_symmetry_space_group_name_Hall '-P 4n 2 3'
_cell_length_a 6.788
_cell_length_b 6.788
_cell_length_c 6.788
_cell_angle_alpha 90.00
_cell_angle_beta 90.00
_cell_angle_gamma 90.00
loop_
_atom_site_label
_atom_site_type_symbol
_atom_site_fract_x
_atom_site_fract_y
_atom_site_fract_z
U1 U 0.000 0.000 0.000
Ga1 Ga 0.000 0.250 0.500
Pd1 Pd 0.000 0.500 0.250
```

=====

The following is a DFT calculation (PBE) of an optimized crystal structure of UGa3Pd3.

Values from the calculation:
Energy above the lowest structure with this stoichiometry, eV/atom: 0.000
DOS at the Fermi energy, states/eV/f.u.: 7.85

The structure in CIF format:
```
data_UGa3Pd3
_symmetry_space_group_name_H-M 'P 63/m'
_symmetry_Int_Tables_number 176
_symmetry_space_group_name_Hall '-P 6c'
_cell_length_a 7.5509
_cell_length_b 7.5509
_cell_length_c 5.0265
_cell_angle_alpha 90.00
_cell_angle_beta 90.00
_cell_angle_gamma 120.00
loop_
_atom_site_label
_atom_site_type_symbol
_atom_site_fract_x
_atom_site_fract_y
_atom_site_fract_z
U1 U 0.3333 0.6667 0.2500
Ga1 Ga 0.0078 0.2258 0.2500
Pd1 Pd 0.0868 0.4639 0.7500
```

=====

The following is a DFT calculation (PBE) of an optimized crystal structure of UGa2Pd.

Values from the calculation:
DOS at the Fermi energy, states/eV/f.u.: 5.05
Total DFT energy (no corrections), eV/atom: -5.9195

The structure in CIF format:
```
data_UGa2Pd
_symmetry_space_group_name_H-M 'R -3 m'
_symmetry_Int_Tables_number 166
_symmetry_space_group_name_Hall '-R 3 2"'
_cell_length_a 2.9593
_cell_length_b 2.9593
_cell_length_c 27.7364
_cell_angle_alpha 90.00
_cell_angle_beta 90.00
_cell_angle_gamma 120.00
loop_
_atom_site_label
_atom_site_type_symbol
_atom_site_fract_x
_atom_site_fract_y
_atom_site_fract_z
U1 U 0.0000 0.0000 0.0000
Ga1 Ga 0.0000 0.0000 0.2400
Pd1 Pd 0.0000 0.0000 0.5000
```

=====

- Number 3 is which compound?
  UGa2Pd